1.
Density functional theory data (PBE) for a relaxed ZnGaOs crystal.

Computed properties:
* ΔH_f (0 K): 0.533 eV per formula unit
* size of the total moment: 0.000 μB per formula unit

Cell lengths 4.2729, 4.2729, 2.7784 Å; angles 90.00, 90.00, 120.00 degrees
Space group P3m1 (No. 156)
Symmetry-distinct sites (fractional):
Zn  0.0000  0.0000  0.0000
Ga  0.3333  0.6667  0.3026
Os  0.6667  0.3333  0.5301

2.
Density functional theory data (PBE) for a relaxed Al8CoRh2 crystal.

Computed properties:
* ΔH_f (0 K): -5.853 eV per formula unit
* size of the total moment: 0.000 μB per formula unit

Cell lengths 3.9914, 7.3281, 11.1125 Å; angles 90.00, 90.00, 90.00 degrees
Space group Immm (No. 71)
Symmetry-distinct sites (fractional):
Al  0.0000  0.0000  0.1395
Al  0.0000  0.2248  0.3420
Al  0.0000  0.3129  0.0000
Co  0.0000  0.5000  0.5000
Rh  0.0000  0.5000  0.1955

3.
Density functional theory data (PBE) for a relaxed La8MgAg2 crystal.

Computed properties:
* ΔH_f (0 K): -0.966 eV per formula unit
* size of the total moment: 0.000 μB per formula unit

Cell lengths 16.7736, 5.6351, 8.8831 Å; angles 90.00, 120.93, 90.00 degrees
Space group C2/m (No. 12)
Symmetry-distinct sites (fractional):
La  0.0710  0.0000  0.2294
La  0.0980  0.5000  0.9601
La  0.1438  0.0000  0.7072
La  0.1838  0.5000  0.4566
Mg  0.0000  0.5000  0.5000
Ag  0.2301  0.0000  0.1272

4.
Density functional theory data (PBE) for a relaxed TcPt2Rh4 crystal.

Computed properties:
* ΔH_f (0 K): 1.529 eV per formula unit
* ΔE to the lowest computed polymorph: 23.5 meV/atom
* size of the total moment: 0.000 μB per formula unit

Cell lengths 2.6896, 19.2313, 4.2275 Å; angles 90.00, 90.00, 90.00 degrees
Space group Cmmm (No. 65)
Symmetry-distinct sites (fractional):
Tc  0.0000  0.0000  0.0000
Pt  0.0000  0.4331  0.5000
Rh  0.0000  0.1937  0.5000
Rh  0.0000  0.3504  0.0000

5.
Density functional theory data (PBE) for a relaxed K3RbAu3 crystal.

Computed properties:
* ΔH_f (0 K): -0.821 eV per formula unit
* ΔE to the lowest computed polymorph: 142.6 meV/atom
* size of the total moment: 0.000 μB per formula unit

Cell lengths 9.1045, 9.1045, 9.1045 Å; angles 90.00, 90.00, 90.00 degrees
Space group Pm-3n (No. 223)
Symmetry-distinct sites (fractional):
K  0.0000  0.2500  0.5000
Rb  0.0000  0.0000  0.0000
Au  0.0000  0.5000  0.2500

6.
Density functional theory data (PBE) for a relaxed Dy2MnGa crystal.

Computed properties:
* ΔH_f (0 K): 1.309 eV per formula unit
* ΔE to the lowest computed polymorph: 521.0 meV/atom
* size of the total moment: 3.164 μB per formula unit

Cell lengths 3.3406, 3.3406, 30.8935 Å; angles 90.00, 90.00, 120.00 degrees
Space group R-3m (No. 166, hexagonal axes)
Symmetry-distinct sites (fractional):
Dy  0.0000  0.0000  0.0923
Mn  0.0000  0.0000  0.0000
Ga  0.0000  0.0000  0.5000

7.
Density functional theory data (PBE) for a relaxed DySi4Au12 crystal.

Computed properties:
* formation energy (no corrections): -0.053 eV/atom
* size of the total moment: 0.000 μB per formula unit

Cell lengths 8.8194, 8.8194, 8.8194 Å; angles 90.00, 90.00, 90.00 degrees
Space group Im-3 (No. 204)
Symmetry-distinct sites (fractional):
Dy  0.0000  0.0000  0.0000
Si  0.2500  0.2500  0.2500
Au  0.0000  0.1594  0.3373

8.
Density functional theory data (PBE) for a relaxed Li2La2CuPd5 crystal.

Computed properties:
* ΔH_f (0 K): -5.517 eV per formula unit
* size of the total moment: 0.000 μB per formula unit

Cell lengths 9.5374, 9.5374, 3.8553 Å; angles 90.00, 90.00, 90.00 degrees
Space group P4/mbm (No. 127)
Symmetry-distinct sites (fractional):
Li  0.1164  0.3836  0.0000
La  0.1834  0.6834  0.0000
Cu  0.0000  0.0000  0.0000
Pd  0.0000  0.5000  0.5000
Pd  0.0609  0.2034  0.5000

9.
Density functional theory data (PBE) for a relaxed LiPaOs crystal.

Computed properties:
* ΔH_f (0 K): 0.060 eV per formula unit
* ΔE to the lowest computed polymorph: 0.0 meV/atom
* size of the total moment: 0.000 μB per formula unit

Cell lengths 4.8047, 6.6445, 6.8806 Å; angles 90.00, 90.00, 90.00 degrees
Space group Immm (No. 71)
Symmetry-distinct sites (fractional):
Li  0.0000  0.0000  0.1604
Pa  0.0000  0.2405  0.5000
Os  0.0000  0.5000  0.2002

10.
Density functional theory data (PBE) for a relaxed LaTbGdGa crystal.

Computed properties:
* ΔH_f (0 K): -0.472 eV per formula unit
* size of the total moment: 8.426 μB per formula unit

Cell lengths 7.6969, 7.6969, 7.6969 Å; angles 90.00, 90.00, 90.00 degrees
Space group F-43m (No. 216)
Symmetry-distinct sites (fractional):
La  0.0000  0.0000  0.0000
Tb  0.2500  0.2500  0.2500
Gd  0.0000  0.0000  0.5000
Ga  0.2500  0.2500  0.7500

11.
Density functional theory data (PBE) for a relaxed LaAl2Ag crystal.

Computed properties:
* ΔH_f (0 K): -1.379 eV per formula unit
* ΔE to the lowest computed polymorph: 47.4 meV/atom
* size of the total moment: 0.000 μB per formula unit

Cell lengths 4.4238, 4.4238, 16.5506 Å; angles 90.00, 90.00, 120.00 degrees
Space group R-3m (No. 166, hexagonal axes)
Symmetry-distinct sites (fractional):
La  0.0000  0.0000  0.0000
Al  0.0000  0.0000  0.2096
Ag  0.0000  0.0000  0.5000

12.
Density functional theory data (PBE) for a relaxed TbPa3C4 crystal.

Computed properties:
* ΔH_f (0 K): -3.293 eV per formula unit
* size of the total moment: 0.000 μB per formula unit

Cell lengths 7.2007, 10.2089, 3.6184 Å; angles 90.00, 90.00, 90.00 degrees
Space group Cmmm (No. 65)
Symmetry-distinct sites (fractional):
Tb  0.0000  0.0000  0.0000
Pa  0.0000  0.5000  0.0000
Pa  0.2500  0.2500  0.5000
C  0.0000  0.2565  0.0000
C  0.2346  0.5000  0.5000

13.
Density functional theory data (PBE) for a relaxed CaPrTi2O6 crystal.

Computed properties:
* formation energy (no corrections): -3.169 eV/atom
* size of the total moment: 0.337 μB per formula unit

Cell lengths 7.8111, 5.5817, 5.4789 Å; angles 90.00, 90.00, 90.00 degrees
Space group Pmn2_1 (No. 31)
Symmetry-distinct sites (fractional):
Ca  0.0000  0.2046  0.0000
Pr  0.0000  0.7056  0.5165
Ti  0.2494  0.2479  0.5087
O  0.0000  0.2673  0.4303
O  0.0000  0.7709  0.0825
O  0.2090  0.4594  0.8005
O  0.2108  0.9599  0.7171

14.
Density functional theory data (PBE) for a relaxed KV2Se2 crystal.

Computed properties:
* ΔE to the lowest computed polymorph: 0.0 meV/atom
* formation energy (no corrections): -0.777 eV/atom
* size of the total moment: 0.000 μB per formula unit

Cell lengths 3.7026, 3.7026, 15.2430 Å; angles 90.00, 90.00, 90.00 degrees
Space group I4/mmm (No. 139)
Symmetry-distinct sites (fractional):
K  0.0000  0.0000  0.0000
V  0.0000  0.5000  0.2500
Se  0.0000  0.0000  0.3622

15.
Density functional theory data (PBE) for a relaxed Li2LaH8Pt crystal.

Computed properties:
* E_tot: -3.881 eV per atom
* size of the total moment: 0.000 μB per formula unit

Cell lengths 4.7788, 4.4650, 5.3085 Å; angles 90.00, 97.72, 90.00 degrees
Space group P2/m (No. 10)
Symmetry-distinct sites (fractional):
Li  0.0220  0.0000  0.2451
La  0.5000  0.5000  0.0000
H  0.0281  0.5000  0.1806
H  0.2588  0.2455  0.5615
H  0.2795  0.0000  0.0246
Pt  0.0000  0.5000  0.5000

16.
Density functional theory data (PBE) for a relaxed Ba3TiRu crystal.

Computed properties:
* ΔH_f (0 K): 4.205 eV per formula unit
* ΔE to the lowest computed polymorph: 0.0 meV/atom
* size of the total moment: 0.154 μB per formula unit

Cell lengths 5.8976, 5.8976, 5.8976 Å; angles 90.00, 90.00, 90.00 degrees
Space group Pm-3m (No. 221)
Symmetry-distinct sites (fractional):
Ba  0.0000  0.0000  0.5000
Ti  0.5000  0.5000  0.5000
Ru  0.0000  0.0000  0.0000

17.
Density functional theory data (PBE) for a relaxed Mg4Pd15Au crystal.

Computed properties:
* ΔH_f (0 K): -7.890 eV per formula unit
* size of the total moment: 0.000 μB per formula unit

Cell lengths 3.9740, 3.9740, 19.8883 Å; angles 90.00, 90.00, 90.00 degrees
Space group P4/mmm (No. 123)
Symmetry-distinct sites (fractional):
Mg  0.0000  0.0000  0.0998
Mg  0.0000  0.0000  0.2985
Pd  0.0000  0.5000  0.0000
Pd  0.0000  0.5000  0.1992
Pd  0.0000  0.5000  0.3979
Pd  0.5000  0.5000  0.0996
Pd  0.5000  0.5000  0.2984
Pd  0.5000  0.5000  0.5000
Au  0.0000  0.0000  0.5000

18.
Density functional theory data (PBE) for a relaxed ZrO crystal.

Computed properties:
* formation energy (no corrections): -2.440 eV/atom
* size of the total moment: 0.000 μB per formula unit

Cell lengths 3.2439, 9.5715, 5.3843 Å; angles 90.00, 90.00, 90.00 degrees
Space group Amm2 (No. 38)
Symmetry-distinct sites (fractional):
Zr  0.0000  0.0000  0.0000
Zr  0.5000  0.1697  0.4797
O  0.0000  0.2092  0.7937
O  0.5000  0.0000  0.7262

19.
Density functional theory data (PBE) for a relaxed ZnGaPtO4 crystal.

Computed properties:
* formation energy (no corrections): -1.102 eV/atom
* size of the total moment: 0.948 μB per formula unit

Cell lengths 5.9540, 6.0726, 9.1127 Å; angles 90.00, 90.00, 90.00 degrees
Space group Imma (No. 74)
Symmetry-distinct sites (fractional):
Zn  0.0000  0.2500  0.1244
Ga  0.2500  0.2500  0.7500
Pt  0.0000  0.0000  0.5000
O  0.0000  0.0280  0.7577
O  0.2325  0.2500  0.5229

20.
Density functional theory data (PBE) for a relaxed PmYGaPd crystal.

Computed properties:
* ΔH_f (0 K): -2.666 eV per formula unit
* ΔE to the lowest computed polymorph: 46.3 meV/atom
* size of the total moment: 0.000 μB per formula unit

Cell lengths 7.2114, 7.2114, 7.2114 Å; angles 90.00, 90.00, 90.00 degrees
Space group F-43m (No. 216)
Symmetry-distinct sites (fractional):
Pm  0.0000  0.0000  0.0000
Y  0.0000  0.0000  0.5000
Ga  0.2500  0.2500  0.2500
Pd  0.2500  0.2500  0.7500